# 1
PBEsol Sr2InHg2, optimized geometry; total moment = 0.00 μB/cell; V = 29.68 A^3/atom; DFT formation energy = -496 meV per atom; space-group type = P4/mbm (127); density of states at the Fermi level = 7.80 states/eV per cell; crystal system = tetragonal
1.0
-2.048 2.212 3.108
0.846 -6.437 5.139
7.246 3.038 2.613
Hg In Sr
4 2 4
Cartesian
1.441 -3.646 3.544
2.818 0.328 1.624
5.274 -3.727 6.127
6.651 0.247 4.207
4.046 -1.700 3.876
0.000 0.000 0.000
5.519 -0.741 7.180
2.022 -3.215 6.636
4.022 2.027 4.223
0.525 -0.446 3.679

---

# 2
PBEsol SrLi4Ca, optimized geometry; total moment = 0.00 μB/cell; V = 29.13 A^3/atom; DFT formation energy = -4 meV per atom; space-group type = F-43m (216); density of states at the Fermi level = 4.97 states/eV per cell; crystal system = cubic
1.0
6.276 0.000 0.000
3.138 5.435 0.000
3.138 1.812 5.124
Ca Li Sr
1 4 1
Cartesian
0.000 0.000 0.000
6.276 5.452 1.916
7.859 2.709 1.916
4.692 2.709 1.916
6.276 3.623 4.501
9.414 5.435 3.843

---

# 3
PBEsol CsCoP2Cl, optimized geometry; total moment = 0.00 μB/cell; E above lowest polymorph = 0.00 kcal/mol of atoms; V = 25.39 A^3/atom; space-group type = P4/mmm (123); density of states at the Fermi level = 4.96 states/eV per cell; formation energy from raw total energies = -0.199 eV per atom; crystal system = tetragonal
1.0
-2.989 0.201 -3.050
2.120 -2.937 -2.271
-3.578 -5.037 3.175
Co P Cl Cs
1 2 1 1
Cartesian
0.000 0.000 0.000
-1.495 0.100 -1.525
1.060 -1.469 -1.135
-1.789 -2.518 1.587
-2.224 -3.886 -1.073

---

# 4
PBEsol MgSc2Hg2, optimized geometry; total moment = 0.00 μB/cell; V = 21.68 A^3/atom; DFT formation energy = -439 meV per atom; space-group type = P4/mbm (127); density of states at the Fermi level = 6.12 states/eV per cell; crystal system = tetragonal
1.0
-0.506 3.453 1.089
-5.656 -2.308 4.689
5.116 -1.035 5.661
Mg Sc Hg
2 4 4
Cartesian
0.000 0.000 0.000
-0.270 -1.672 5.175
-1.315 0.781 3.048
0.270 -0.672 8.391
2.217 0.661 5.072
-3.262 -0.551 6.368
1.091 -0.691 2.698
2.362 -1.734 6.596
-1.630 -2.653 7.652
-2.901 -1.610 3.755